DFT (PBE) results for a relaxed Ce2BiRh9 crystal.

Summary:
- volume (A^3/atom) = 16.69
- formation energy from the elements (eV/atom) = -0.430
- E (eV per atom) = -7.256
- space-group type = P4/mmm

a b c (Å): 4.0595 4.0595 12.1534
angles (deg): 90.00 90.00 90.00
Fractional positions:
Ce (0.0000, 0.0000, 0.3333)
Ce (0.0000, 0.0000, 0.6667)
Bi (0.0000, 0.0000, 0.0000)
Rh (0.5000, 0.5000, 0.0000)
Rh (0.5000, 0.5000, 0.3309)
Rh (0.5000, 0.5000, 0.6691)
Rh (0.5000, 0.0000, 0.1651)
Rh (0.5000, 0.0000, 0.5000)
Rh (0.5000, 0.0000, 0.8349)
Rh (0.0000, 0.5000, 0.1651)
Rh (0.0000, 0.5000, 0.5000)
Rh (0.0000, 0.5000, 0.8349)

DFT (PBE) results for a relaxed CeBi2Rh crystal.

Summary:
- volume (A^3/atom) = 25.48
- formation energy from the elements (eV/atom) = -0.556
- E (eV per atom) = -5.818
- space-group type = I4/mmm

a b c (Å): 4.6400 4.6400 10.0214
angles (deg): 103.39 103.39 90.00
Fractional positions:
Ce (0.1357, 0.1357, 0.2714)
Ce (0.8643, 0.8643, 0.7286)
Bi (0.0000, 0.5000, 0.0000)
Bi (0.5000, 0.0000, 0.0000)
Bi (0.3346, 0.3346, 0.6692)
Bi (0.6654, 0.6654, 0.3308)
Rh (0.2500, 0.7500, 0.5000)
Rh (0.7500, 0.2500, 0.5000)

DFT (PBE) results for a relaxed Ce3Bi2Rh crystal.

Summary:
- volume (A^3/atom) = 30.42
- formation energy from the elements (eV/atom) = -0.643
- E (eV per atom) = -6.129
- space-group type = C2/m

a b c (Å): 7.5946 7.5563 7.7891
angles (deg): 80.51 70.84 59.83
Fractional positions:
Ce (0.4359, 0.6363, 0.7760)
Ce (0.2927, 0.0000, 0.2114)
Ce (0.5641, 0.3637, 0.2240)
Ce (0.9278, 0.6363, 0.2240)
Ce (0.0722, 0.3637, 0.7760)
Ce (0.7073, 0.0000, 0.7886)
Bi (0.0000, 0.0000, 0.0000)
Bi (0.5000, 0.0000, 0.5000)
Bi (0.1529, 0.6943, 0.5000)
Bi (0.8471, 0.3057, 0.5000)
Rh (0.6674, 0.6652, 0.0000)
Rh (0.3326, 0.3348, 0.0000)

DFT (PBE) results for a relaxed Ce2Bi5Rh3 crystal.

Summary:
- volume (A^3/atom) = 24.65
- formation energy from the elements (eV/atom) = -0.471
- E (eV per atom) = -5.803
- space-group type = Cmc2_1

a b c (Å): 13.9394 13.9394 7.6176
angles (deg): 90.00 90.00 160.54
Fractional positions:
Ce (0.4747, 0.5253, 0.2353)
Ce (0.1665, 0.8335, 0.2724)
Ce (0.8335, 0.1665, 0.7724)
Ce (0.5253, 0.4747, 0.7353)
Bi (0.4048, 0.5952, 0.6096)
Bi (0.2867, 0.7133, 0.4966)
Bi (0.7133, 0.2867, 0.9966)
Bi (0.1214, 0.8786, 0.7437)
Bi (0.2972, 0.7028, 0.0673)
Bi (0.9549, 0.0451, 0.9015)
Bi (0.7028, 0.2972, 0.5673)
Bi (0.8786, 0.1214, 0.2437)
Bi (0.0451, 0.9549, 0.4015)
Bi (0.5952, 0.4048, 0.1096)
Rh (0.7739, 0.2261, 0.2910)
Rh (0.5988, 0.4012, 0.4987)
Rh (0.0505, 0.9495, 0.0190)
Rh (0.2261, 0.7739, 0.7910)
Rh (0.9495, 0.0505, 0.5190)
Rh (0.4012, 0.5988, 0.9987)

DFT (PBE) results for a relaxed Ce2Bi2Rh3 crystal.

Summary:
- volume (A^3/atom) = 24.27
- formation energy from the elements (eV/atom) = -0.585
- E (eV per atom) = -6.540
- space-group type = P-1

a b c (Å): 4.1302 7.0408 5.9517
angles (deg): 82.51 97.54 94.06
Fractional positions:
Ce (0.6123, 0.2820, 0.8721)
Ce (0.3877, 0.7180, 0.1279)
Bi (0.8060, 0.7960, 0.6379)
Bi (0.1940, 0.2040, 0.3621)
Rh (0.0000, 0.0000, 0.0000)
Rh (0.7212, 0.4743, 0.3381)
Rh (0.2788, 0.5257, 0.6619)

DFT (PBE) results for a relaxed CeBi2Rh2 crystal.

Summary:
- volume (A^3/atom) = 24.27
- formation energy from the elements (eV/atom) = -0.518
- ΔE to the lowest computed polymorph (eV per atom) = 0.0000
- E (eV per atom) = -6.197
- space-group type = P2_1/m

a b c (Å): 4.8115 4.7456 10.6934
angles (deg): 96.24 90.00 90.00
Fractional positions:
Ce (0.7500, 0.1640, 0.6634)
Ce (0.2500, 0.8360, 0.3366)
Bi (0.7500, 0.2465, 0.9890)
Bi (0.2500, 0.6787, 0.6946)
Bi (0.2500, 0.7535, 0.0110)
Bi (0.7500, 0.3213, 0.3054)
Rh (0.2500, 0.3697, 0.4459)
Rh (0.7500, 0.7837, 0.1600)
Rh (0.2500, 0.2163, 0.8400)
Rh (0.7500, 0.6303, 0.5541)

DFT (PBE) results for a relaxed Ce7BiRh2 crystal.

Summary:
- volume (A^3/atom) = 31.43
- formation energy from the elements (eV/atom) = -0.214
- E (eV per atom) = -6.226
- space-group type = Cmmm

a b c (Å): 5.1643 7.9878 7.9878
angles (deg): 107.47 90.00 90.00
Fractional positions:
Ce (0.0000, 0.7250, 0.2750)
Ce (0.0000, 0.2750, 0.7250)
Ce (0.5000, 0.0833, 0.2989)
Ce (0.5000, 0.9167, 0.7011)
Ce (0.5000, 0.2989, 0.0833)
Ce (0.5000, 0.7011, 0.9167)
Ce (0.5000, 0.5000, 0.5000)
Bi (0.0000, 0.0000, 0.0000)
Rh (0.5000, 0.7042, 0.2958)
Rh (0.5000, 0.2958, 0.7042)

DFT (PBE) results for a relaxed CeBi2Rh crystal.

Summary:
- volume (A^3/atom) = 27.38
- formation energy from the elements (eV/atom) = 0.013
- E (eV per atom) = -5.249
- space-group type = R-3m

a b c (Å): 3.4843 3.4843 10.6112
angles (deg): 80.55 80.55 60.00
Fractional positions:
Rh (0.5000, 0.5000, 0.5000)
Bi (0.1045, 0.1045, 0.6866)
Bi (0.8955, 0.8955, 0.3134)
Ce (0.0000, 0.0000, 0.0000)